Entry 1:
Nd2Er3Th2 after structural relaxation. Source: Alexandria, functional GGA-PBE.

Crystal system = monoclinic

Cell lengths 17.6253, 3.4497, 8.6167 Å; angles 90.00, 119.24, 90.00 degrees
Closest atoms and distances in Å follow each position.
Space group C2/m (No. 12)
Asymmetric unit:
Nd: 0.0629 0.0000 0.4101 (multiplicity 4)  3 Nd 3.27-3.45, 3 Er 3.46-3.59
Er: 0.0000 0.5000 0.0000 (multiplicity 2)  4 Er 3.40-3.45, 2 Th 3.51, 4 Nd 3.59
Er: 0.2157 0.5000 0.2993 (multiplicity 4)  5 Er 3.40-3.51, 3 Th 3.44-3.59, 3 Nd 3.46-3.69
Th: 0.1545 0.5000 0.8542 (multiplicity 4)  4 Er 3.44-3.59, 4 Th 3.45-3.52, 4 Nd 3.77-3.78

***

Entry 2:
Nd2Er6Th3 after structural relaxation. Source: Alexandria, functional GGA-PBE.

Crystal system = monoclinic

Cell lengths 6.1544, 10.6741, 11.3038 Å; angles 90.00, 90.15, 90.00 degrees
Closest atoms and distances in Å follow each position.
Space group C2/m (No. 12)
Asymmetric unit:
Nd: 0.0000 0.1662 0.0000 (multiplicity 4)  6 Er 3.54-3.56, 3 Nd 3.55-3.56
Er: 0.1638 0.3348 0.2553 (multiplicity 8)  3 Th 3.43-3.45, 6 Er 3.53-3.57, 2 Nd 3.55-3.56
Er: 0.1676 0.0000 0.2558 (multiplicity 4)  3 Th 3.43-3.44, 6 Er 3.53-3.57, 2 Nd 3.54
Th: 0.0000 0.1666 0.5000 (multiplicity 4)  6 Er 3.44-3.45, 6 Th 3.55-3.56
Th: 0.0000 0.5000 0.5000 (multiplicity 2)  6 Er 3.43, 6 Th 3.55-3.56

***

Entry 3:
Nd5Er4Th after structural relaxation. Source: Alexandria, functional GGA-PBE.

Crystal system = monoclinic

Cell lengths 17.1205, 3.5490, 11.5294 Å; angles 90.00, 108.61, 90.00 degrees
Closest atoms and distances in Å follow each position.
Space group C2/m (No. 12)
Asymmetric unit:
Nd: 0.0000 0.0000 0.0000 (multiplicity 2)  6 Er 3.37-3.70, 6 Nd 3.55-3.56
Nd: 0.1899 0.5000 0.0813 (multiplicity 4)  4 Er 3.34-3.59, 6 Nd 3.55-3.66
Nd: 0.2027 0.5000 0.6107 (multiplicity 4)  6 Nd 3.55-3.87, 5 Er 3.56-3.94, 2 Th 3.74
Er: 0.0806 0.5000 0.2964 (multiplicity 4)  4 Er 3.49-3.55, 4 Nd 3.55-3.70, 2 Th 3.55
Er: 0.1048 0.0000 0.7977 (multiplicity 4)  1 Th 3.33, 6 Nd 3.34-3.59, 4 Er 3.49-3.55
Th: 0.0000 0.0000 0.5000 (multiplicity 2)  6 Er 3.33-3.55, 2 Th 3.55

***

Entry 4:
Nd3Er4Th2 after structural relaxation. Source: Alexandria, functional GGA-PBE.

Crystal system = monoclinic

Cell lengths 14.7244, 13.1112, 6.3174 Å; angles 90.00, 99.67, 90.00 degrees
Closest atoms and distances in Å follow each position.
Space group C2/c (No. 15)
Asymmetric unit:
Nd: 0.0000 0.0397 0.2500 (multiplicity 4)  2 Nd 3.33, 2 Er 3.54, 4 Th 3.57-3.62
Nd: 0.1055 0.4392 0.0004 (multiplicity 8)  2 Th 3.27-3.53, 5 Er 3.38-3.65, 3 Nd 3.49-3.54
Er: 0.0824 0.2887 0.5212 (multiplicity 8)  1 Th 3.35, 3 Nd 3.38-3.59, 2 Er 3.40-3.69
Er: 0.1898 0.1837 0.1383 (multiplicity 8)  2 Er 3.20-3.40, 3 Th 3.42-3.49, 1 Nd 3.54
Th: 0.2071 0.0761 0.6420 (multiplicity 8)  4 Nd 3.27-3.62, 4 Er 3.35-3.49

***

Entry 5:
Nd7Er3Th after structural relaxation. Source: Alexandria, functional GGA-PBE.

Crystal system = trigonal

Cell lengths 7.2235, 7.2235, 8.6829 Å; angles 90.00, 90.00, 120.00 degrees
Closest atoms and distances in Å follow each position.
Space group P3m1 (No. 156)
Asymmetric unit:
Nd: 0.0000 0.0000 0.0000 (multiplicity 1)  3 Er 3.61, 9 Nd 3.61-3.62
Nd: 0.1659 0.3318 0.3412 (multiplicity 3)  2 Er 3.50, 7 Nd 3.60-3.65, 2 Th 3.61
Nd: 0.5030 0.0059 0.9986 (multiplicity 3)  8 Nd 3.55-3.68, 2 Er 3.56, 1 Th 3.57
Er: 0.3389 0.1695 0.6634 (multiplicity 3)  5 Nd 3.50-3.61, 1 Th 3.51, 4 Er 3.55-3.67
Th: 0.6667 0.3333 0.3353 (multiplicity 1)  3 Er 3.51, 9 Nd 3.57-3.61

***

Entry 6:
NdEr6Th2 after structural relaxation. Source: Alexandria, functional GGA-PBE.

Crystal system = monoclinic

Cell lengths 12.6887, 14.1883, 6.5716 Å; angles 90.00, 101.68, 90.00 degrees
Closest atoms and distances in Å follow each position.
Space group C2/c (No. 15)
Asymmetric unit:
Nd: 0.0000 0.1159 0.2500 (multiplicity 4)  6 Er 3.26-3.47
Er: 0.0352 0.3093 0.0042 (multiplicity 8)  1 Nd 3.26, 5 Er 3.28-3.52, 3 Th 3.38-3.47
Er: 0.1384 0.0860 0.8181 (multiplicity 8)  2 Nd 3.34-3.65, 4 Er 3.41-3.73, 2 Th 3.50-3.53
Er: 0.2403 0.3014 0.7296 (multiplicity 8)  7 Er 3.40-3.80, 2 Th 3.45-3.66, 1 Nd 3.47
Th: 0.1342 0.4747 0.3781 (multiplicity 8)  3 Th 3.36-3.48, 7 Er 3.38-3.66

***

Entry 7:
NdEr2Th after structural relaxation. Source: Alexandria, functional GGA-PBE.

Crystal system = cubic

Cell lengths 8.0337, 8.0337, 8.0337 Å; angles 90.00, 90.00, 90.00 degrees
Closest atoms and distances in Å follow each position.
Space group Fm-3m (No. 225)
Asymmetric unit:
Nd: 0.0000 0.0000 0.0000 (multiplicity 4)  8 Er 3.48
Er: 0.2500 0.2500 0.2500 (multiplicity 8)  4 Th 3.48, 4 Nd 3.48
Th: 0.0000 0.0000 0.5000 (multiplicity 4)  8 Er 3.48

***

Entry 8:
Nd2Er12Th5 after structural relaxation. Source: Alexandria, functional GGA-PBE.

Crystal system = triclinic

Cell lengths 6.0016, 9.8019, 11.0572 Å; angles 70.00, 83.38, 88.94 degrees
Closest atoms and distances in Å follow each position.
Space group P-1 (No. 2)
Asymmetric unit:
Nd: 0.2074 0.4296 0.0839 (multiplicity 2)  7 Er 3.26-3.62, 1 Nd 3.28, 1 Th 3.47
Er: 0.0513 0.1736 0.3977 (multiplicity 2)  4 Er 3.20-3.47, 2 Th 3.26-3.43, 1 Nd 3.55
Er: 0.0811 0.8211 0.0176 (multiplicity 2)  6 Er 3.41-3.57, 4 Th 3.51-3.71, 2 Nd 3.58-3.73
Er: 0.1157 0.0961 0.7124 (multiplicity 2)  4 Th 3.33-3.51, 6 Er 3.37-3.69
Er: 0.3443 0.6888 0.7745 (multiplicity 2)  4 Er 3.20-3.57, 3 Nd 3.26-3.53, 2 Th 3.54-3.55
Er: 0.4491 0.3164 0.8414 (multiplicity 2)  5 Er 3.38-3.69, 2 Nd 3.41-3.62, 4 Th 3.48-3.65
Er: 0.4602 0.6769 0.4683 (multiplicity 2)  3 Th 3.32-3.60, 4 Er 3.33-3.42
Th: 0.0192 0.5386 0.3451 (multiplicity 2)  1 Th 3.23, 4 Er 3.43-3.60, 1 Nd 3.47
Th: 0.3982 0.0303 0.1517 (multiplicity 2)  8 Er 3.33-3.62, 1 Th 3.67
Th: 0.5000 0.0000 0.5000 (multiplicity 1)  10 Er 3.26-3.63

***

Entry 9:
Nd3Er5Th after structural relaxation. Source: Alexandria, functional GGA-PBE.

Crystal system = hexagonal

Cell lengths 9.7497, 9.7497, 7.0357 Å; angles 90.00, 90.00, 120.00 degrees
Closest atoms and distances in Å follow each position.
Space group P6_3/mcm (No. 193)
Asymmetric unit:
Nd: 0.0000 0.3375 0.2500 (multiplicity 6)  5 Er 3.25-3.52
Er: 0.0000 0.3291 0.7500 (multiplicity 6)  5 Nd 3.25-3.52
Er: 0.3333 0.6667 0.0000 (multiplicity 4)  8 Er 3.52-3.71, 6 Nd 3.68
Th: 0.0000 0.0000 0.0000 (multiplicity 2)  2 Th 3.52, 6 Er 3.66, 6 Nd 3.73

***

Entry 10:
NdErTh after structural relaxation. Source: Alexandria, functional GGA-PBE.

Crystal system = tetragonal

Cell lengths 5.9610, 5.9610, 6.3969 Å; angles 90.00, 90.00, 90.00 degrees
Closest atoms and distances in Å follow each position.
Space group P4_2/mmc (No. 131)
Asymmetric unit:
Nd: 0.0000 0.0000 0.0000 (multiplicity 2)  2 Er 2.98, 2 Nd 3.20
Er: 0.0000 0.5000 0.0000 (multiplicity 2)  2 Nd 2.98
Th: 0.5000 0.5000 0.2500 (multiplicity 2)  2 Th 3.20, 4 Er 3.38

***

Entry 11:
Nd7Er16Th6 after structural relaxation. Source: Alexandria, functional GGA-PBE.

Crystal system = cubic

Cell lengths 15.6879, 15.6879, 15.6879 Å; angles 90.00, 90.00, 90.00 degrees
Closest atoms and distances in Å follow each position.
Space group Fm-3m (No. 225)
Asymmetric unit:
Nd: 0.0000 0.0000 0.0000 (multiplicity 4)  8 Er 3.31
Nd: 0.0000 0.2500 0.2500 (multiplicity 24)  8 Er 3.21-3.43
Er: 0.1218 0.1218 0.1218 (multiplicity 32)  4 Nd 3.31-3.43, 3 Er 3.54
Er: 0.1584 0.1584 0.3416 (multiplicity 32)  3 Nd 3.21, 3 Th 3.52, 3 Er 3.54
Th: 0.0000 0.0000 0.3309 (multiplicity 24)  4 Er 3.52, 4 Th 3.75

***

Entry 12:
NdEr8Th4 after structural relaxation. Source: Alexandria, functional GGA-PBE.

Crystal system = trigonal

Cell lengths 7.3508, 7.3508, 26.4932 Å; angles 90.00, 90.00, 120.00 degrees
Closest atoms and distances in Å follow each position.
Space group R-3m (No. 166, hexagonal axes)
Asymmetric unit:
Nd: 0.0000 0.0000 0.0000 (multiplicity 3)  6 Er 2.92
Er: 0.0000 0.0000 0.2787 (multiplicity 6)  9 Er 3.63-3.69, 3 Th 3.65
Er: 0.0415 0.5207 0.2701 (multiplicity 18)  1 Nd 2.92, 2 Er 3.22
Th: 0.0000 0.0000 0.5000 (multiplicity 3)  6 Er 3.31, 6 Th 3.68
Th: 0.0000 0.5000 0.5000 (multiplicity 9)  6 Er 3.56-3.65, 6 Th 3.68

***

Entry 13:
Nd8Er5Th after structural relaxation. Source: Alexandria, functional GGA-PBE.

Crystal system = tetragonal

Cell lengths 9.6974, 9.6974, 10.2651 Å; angles 90.00, 90.00, 90.00 degrees
Closest atoms and distances in Å follow each position.
Space group I-4 (No. 82)
Asymmetric unit:
Nd: 0.0668 0.3290 0.4070 (multiplicity 8)  5 Er 3.39-3.64, 3 Nd 3.56-3.67
Nd: 0.0957 0.1794 0.7516 (multiplicity 8)  1 Th 3.24, 5 Er 3.25-3.56
Er: 0.0000 0.0000 0.5000 (multiplicity 2)  8 Nd 3.25-3.39
Er: 0.1104 0.2015 0.0764 (multiplicity 8)  8 Nd 3.34-3.64, 2 Er 3.52
Th: 0.0000 0.5000 0.7500 (multiplicity 2)  4 Nd 3.24

***

Entry 14:
Nd14ErTh after structural relaxation. Source: Alexandria, functional GGA-PBE.

Crystal system = tetragonal

Cell lengths 7.3163, 7.3163, 10.4072 Å; angles 90.00, 90.00, 90.00 degrees
Closest atoms and distances in Å follow each position.
Space group P4/mmm (No. 123)
Asymmetric unit:
Nd: 0.0000 0.0000 0.0000 (multiplicity 1)  12 Nd 3.66-3.68
Nd: 0.0000 0.5000 0.0000 (multiplicity 2)  12 Nd 3.66-3.70
Nd: 0.0000 0.5000 0.5000 (multiplicity 2)  8 Nd 3.64, 2 Th 3.66, 2 Er 3.66
Nd: 0.2481 0.2481 0.2539 (multiplicity 8)  1 Th 3.63, 10 Nd 3.63-3.71, 1 Er 3.65
Nd: 0.5000 0.5000 0.0000 (multiplicity 1)  12 Nd 3.66-3.71
Er: 0.5000 0.5000 0.5000 (multiplicity 1)  12 Nd 3.65-3.66
Th: 0.0000 0.0000 0.5000 (multiplicity 1)  12 Nd 3.63-3.66

***

Entry 15:
Nd2Er8Th3 after structural relaxation. Source: Alexandria, functional GGA-PBE.

Crystal system = orthorhombic

Cell lengths 7.8534, 20.2888, 5.4946 Å; angles 90.00, 90.00, 90.00 degrees
Closest atoms and distances in Å follow each position.
Space group Cmmm (No. 65)
Asymmetric unit:
Nd: 0.0000 0.2383 0.0000 (multiplicity 4)  8 Er 3.39-3.60
Er: 0.0000 0.1239 0.5000 (multiplicity 4)  4 Th 3.43-3.72, 2 Nd 3.60, 4 Er 3.62
Er: 0.0000 0.3365 0.5000 (multiplicity 4)  4 Er 3.39, 2 Nd 3.39, 2 Th 3.68
Er: 0.2045 0.3942 0.0000 (multiplicity 8)  3 Th 3.16-3.49, 3 Er 3.21-3.39
Th: 0.0000 0.0000 0.0000 (multiplicity 2)  4 Er 3.16
Th: 0.2025 0.5000 0.5000 (multiplicity 4)  1 Th 3.18, 6 Er 3.43-3.49

***

Entry 16:
Nd4Er5Th2 after structural relaxation. Source: Alexandria, functional GGA-PBE.

Crystal system = triclinic

Cell lengths 3.5137, 8.8997, 11.8199 Å; angles 84.63, 89.71, 78.93 degrees
Closest atoms and distances in Å follow each position.
Space group P-1 (No. 2)
Asymmetric unit:
Nd: 0.0763 0.2749 0.1692 (multiplicity 2)  3 Er 3.42-3.58, 2 Nd 3.51, 4 Th 3.58-3.79
Nd: 0.3611 0.8026 0.5344 (multiplicity 2)  4 Nd 3.51-3.87, 7 Er 3.60-3.71
Er: 0.0239 0.4538 0.6390 (multiplicity 2)  4 Er 3.30-3.51, 5 Nd 3.43-3.65, 2 Th 3.48-3.51
Er: 0.1707 0.0873 0.7350 (multiplicity 2)  4 Er 3.30-3.51, 1 Th 3.57, 3 Nd 3.58-3.66
Er: 0.5000 0.0000 0.0000 (multiplicity 1)  4 Er 3.31-3.51, 2 Nd 3.42, 2 Th 3.42
Th: 0.4276 0.6367 0.1081 (multiplicity 2)  5 Er 3.42-3.70, 3 Th 3.51-3.66, 4 Nd 3.58-3.79

***

Entry 17:
Nd3Er6Th after structural relaxation. Source: Alexandria, functional GGA-PBE.

Crystal system = monoclinic

Cell lengths 11.4362, 6.5822, 9.5139 Å; angles 90.00, 113.65, 90.00 degrees
Closest atoms and distances in Å follow each position.
Space group C2/m (No. 12)
Asymmetric unit:
Nd: 0.0000 0.0000 0.0000 (multiplicity 2)  4 Er 3.32, 2 Nd 3.36
Nd: 0.0692 0.0000 0.6885 (multiplicity 4)  4 Er 3.26-3.34, 2 Nd 3.29-3.36
Er: 0.1359 0.5000 0.9187 (multiplicity 4)  1 Th 3.65, 7 Er 3.82-3.99, 6 Nd 3.85-3.92
Er: 0.1855 0.2508 0.3132 (multiplicity 8)  3 Nd 3.26-3.34, 3 Er 3.26-3.30
Th: 0.0000 0.5000 0.5000 (multiplicity 2)  10 Er 3.65-3.70, 4 Nd 3.68

***

Entry 18:
Nd2Er2Th after structural relaxation. Source: Alexandria, functional GGA-PBE.

Crystal system = monoclinic

Cell lengths 5.3769, 3.5334, 8.9749 Å; angles 90.00, 107.38, 90.00 degrees
Closest atoms and distances in Å follow each position.
Space group P2/m (No. 10)
Asymmetric unit:
Nd: 0.1977 0.0000 0.3951 (multiplicity 2)  4 Nd 3.23-3.53, 1 Th 3.38, 4 Er 3.61
Er: 0.3980 0.5000 0.7964 (multiplicity 2)  3 Er 3.49-3.53, 6 Nd 3.61-3.86, 4 Th 3.66
Th: 0.0000 0.0000 0.0000 (multiplicity 1)  2 Nd 3.38, 2 Th 3.53, 8 Er 3.66

***

Entry 19:
NdEr3Th2 after structural relaxation. Source: Alexandria, functional GGA-PBE.

Crystal system = monoclinic

Cell lengths 8.7103, 3.6168, 12.2346 Å; angles 90.00, 90.31, 90.00 degrees
Closest atoms and distances in Å follow each position.
Space group P2_1/m (No. 11)
Asymmetric unit:
Nd: 0.1813 0.2500 0.2569 (multiplicity 2)  5 Er 3.39-3.67, 4 Th 3.45-3.49, 2 Nd 3.62
Er: 0.0963 0.2500 0.8928 (multiplicity 2)  3 Th 3.52-3.55, 2 Nd 3.52, 6 Er 3.61-3.65
Er: 0.3570 0.7500 0.4555 (multiplicity 2)  5 Er 3.26-3.62, 2 Nd 3.39, 2 Th 3.41
Er: 0.3975 0.7500 0.7482 (multiplicity 2)  7 Er 3.60-3.76, 5 Th 3.64-3.76, 1 Nd 3.67
Th: 0.0975 0.2500 0.6022 (multiplicity 2)  5 Er 3.41-3.64, 2 Nd 3.49, 4 Th 3.52-3.62
Th: 0.3598 0.7500 0.0539 (multiplicity 2)  4 Th 3.32-3.62, 2 Nd 3.45, 4 Er 3.52-3.68

***

no.,energy of formation (eV per atom),DFT total energy (eV/atom),M_tot (μB/f.u.)
1,0.14,-5.29,0.0
2,0.15,-5.23,0.0
3,0.04,-4.91,0.0
4,0.16,-5.11,0.0
5,0.19,-4.76,0.0
6,0.14,-5.08,0.0
7,0.13,-5.20,0.0
8,0.15,-5.19,0.0
9,0.06,-4.89,0.0
10,0.81,-4.78,0.0
11,0.33,-4.87,0.0
12,0.22,-5.24,0.0
13,0.28,-4.60,0.0
14,0.02,-4.90,0.0
15,0.27,-4.98,0.0
16,0.07,-5.08,0.0
17,0.23,-4.68,0.0
18,0.06,-5.16,0.0
19,0.10,-5.45,0.0